The following is a PBE-GGA calculation of a relaxed PuTc4P4 crystal, from Alexandria via LeMat-Bulk.

Results
DFT formation energy = -10.9 kcal/mol of atoms

a = 5.9634 Å, b = 5.9634 Å, c = 7.8588 Å
α = 90.00°, β = 90.00°, γ = 90.00°
Fractional positions:
Pu1 0.2500 0.7500 0.2500
Pu2 0.7500 0.2500 0.7500
Tc1 0.0024 0.2500 0.1218
Tc2 0.2500 0.0024 0.6218
Tc3 0.2500 0.4976 0.6218
Tc4 0.4976 0.2500 0.1218
Tc5 0.5024 0.7500 0.8782
Tc6 0.7500 0.5024 0.3782
Tc7 0.7500 0.9976 0.3782
Tc8 0.9976 0.7500 0.8782
P1 0.0519 0.2500 0.4198
P2 0.2500 0.0519 0.9198
P3 0.2500 0.4481 0.9198
P4 0.4481 0.2500 0.4198
P5 0.5519 0.7500 0.5802
P6 0.7500 0.5519 0.0802
P7 0.7500 0.9481 0.0802
P8 0.9481 0.7500 0.5802

---

The following is a PBE-GGA calculation of a relaxed PuTcP crystal, from Alexandria via LeMat-Bulk.

Results
relative energy among the computed polymorphs = 0 meV/atom
DFT formation energy = -16.4 kcal/mol of atoms

a = 7.3649 Å, b = 7.3649 Å, c = 7.3649 Å
α = 148.42°, β = 148.42°, γ = 45.26°
Fractional positions:
Pu1 0.1624 0.1624 0.0000
Pu2 0.8376 0.8376 0.0000
Tc1 0.0000 0.5000 0.5000
Tc2 0.5000 0.0000 0.5000
P1 0.3856 0.3856 0.0000
P2 0.6144 0.6144 0.0000

---

The following is a PBE-GGA calculation of a relaxed Pu2TcP crystal, from Alexandria via LeMat-Bulk.

Results
relative energy among the computed polymorphs = 0 meV/atom
DFT formation energy = -11.0 kcal/mol of atoms

a = 3.6316 Å, b = 3.6316 Å, c = 5.6890 Å
α = 90.00°, β = 90.00°, γ = 90.00°
Fractional positions:
Pu1 0.0000 0.0000 0.2387
Pu2 0.0000 0.0000 0.7613
Tc1 0.5000 0.5000 0.5000
P1 0.5000 0.5000 0.0000

---

The following is a PBE-GGA calculation of a relaxed PuTcP2 crystal, from Alexandria via LeMat-Bulk.

Results
relative energy among the computed polymorphs = 113 meV/atom
DFT formation energy = -14.6 kcal/mol of atoms

a = 3.1264 Å, b = 6.8492 Å, c = 6.8492 Å
α = 27.14°, β = 90.00°, γ = 90.00°
Fractional positions:
Pu1 0.0000 0.0000 0.0000
Tc1 0.0000 0.7573 0.7573
P1 0.5000 0.3405 0.3405
P2 0.5000 0.6219 0.6219

---

| no. | DOS(E_F) (states/eV per cell) |
| --- | --- |
| 1 | 38.22 |
| 2 | 15.80 |
| 3 | 7.53 |
| 4 | 4.46 |